The following is a DFT calculation (PBE-GGA) of an optimized crystal structure of LiLaFe.

a b c (Å): 13.491 4.007 5.111
angles (deg): 90.00 101.57 90.00
Atoms (fractional coordinates):
Li (0.089, 0.000, 0.303)
Li (0.411, 0.500, 0.697)
Li (0.589, 0.500, 0.303)
Li (0.911, 0.000, 0.697)
La (0.134, 0.500, 0.824)
La (0.366, 0.000, 0.176)
La (0.634, 0.000, 0.824)
La (0.866, 0.500, 0.176)
Fe (0.234, 0.500, 0.418)
Fe (0.266, 0.000, 0.582)
Fe (0.734, 0.000, 0.418)
Fe (0.766, 0.500, 0.582)

## Properties
- total magnetization (μB per atom) = 0.0000
- E (eV per atom) = -4.919
- symmetry = C2/m (12)
- formation energy (meV/atom) = 183
- relative energy among the computed polymorphs (eV/atom) = 0.000
- crystal system = monoclinic